1.
{"formula": "HfIn2Ag", "functional": "PBE-GGA", "state": "relaxed", "lattice_angstrom": [[3.182, 0.000, 0.000], [1.591, 2.756, 0.000], [1.591, 0.919, 10.688]], "species": ["Ag", "In", "Hf", "In"], "frac_coords": [[0.500, 0.500, 0.500], [0.908, 0.908, 0.276], [0.000, 0.000, 0.000], [0.092, 0.092, 0.724]], "space_group": "R-3m", "magmom_total_mub_per_fu": 0.0, "final_energy_ev_per_atom": -4.321, "rho_g_cm3": 9.14}

=====

2.
{"formula": "Er8OsRu2", "functional": "PBE-GGA", "state": "relaxed", "lattice_angstrom": [[-4.019, -1.531, 2.172], [3.610, -4.638, 3.409], [1.812, 7.953, 3.616]], "species": ["Er", "Ru", "Er", "Er", "Er", "Er", "Er", "Er", "Er", "Os", "Ru"], "frac_coords": [[0.596, 0.450, 0.191], [0.184, 0.696, 0.369], [0.797, 0.687, 0.594], [0.970, 0.205, 0.940], [0.667, 0.963, 0.334], [0.030, 0.795, 0.060], [0.404, 0.550, 0.809], [0.203, 0.313, 0.406], [0.333, 0.037, 0.666], [0.500, 0.000, 0.000], [0.816, 0.304, 0.631]], "space_group": "C2/m", "magmom_total_mub_per_fu": 0.0, "final_energy_ev_per_atom": -6.317, "rho_g_cm3": 10.74}